Arrangement w

KZnTe3, relaxed, DFT PBE; Fermi-level density of states = 1.88 states/eV per atom; calculated density = 3.56 g/cm³
1.0
6.103 0.000 0.000
0.000 6.103 0.000
0.000 0.000 6.103
K Zn Te
1 1 3
direct
0.000 0.000 0.000
0.500 0.500 0.500
0.000 0.000 0.500
0.000 0.500 0.000
0.500 0.000 0.000


Arrangement x

KZnTe3, relaxed, DFT PBE; Fermi-level density of states = 1.26 states/eV per atom; calculated density = 4.90 g/cm³
1.0
5.488 0.000 0.000
0.000 5.488 0.000
0.000 0.000 5.488
K Zn Te
1 1 3
direct
0.000 0.000 0.000
0.500 0.500 0.500
0.000 0.500 0.500
0.500 0.000 0.500
0.500 0.500 0.000


The most stable of them is arrangement x.